--- A ---
DFT (SCAN) results for HgSb2As2 at its PBEsol-relaxed geometry. Values from VASP.

Values from the calculation:
As for the space group: I4/mmm (139). As for the density of states at the Fermi level: 1.8 states/eV/cell.

Structure (Quantum ESPRESSO input):
```
&SYSTEM
  ibrav = 0, nat = 5, ntyp = 3
/
ATOMIC_SPECIES
Hg 200.59 Hg.upf
Sb 121.76 Sb.upf
As 74.92 As.upf
CELL_PARAMETERS angstrom
-2.4669 2.4669 5.8351
2.4669 -2.4669 5.8351
2.4669 2.4669 -5.8351
ATOMIC_POSITIONS crystal
Hg 0.0000 0.0000 0.0000
Sb 0.3584 0.3584 0.0000
Sb 0.6416 0.6416 0.0000
As 0.2500 0.7500 0.5000
As 0.7500 0.2500 0.5000
```

***

--- B ---
DFT (SCAN) results for HgSb2As2 at its PBEsol-relaxed geometry. Values from VASP.

Values from the calculation:
As for the space group: P4/mbm (127). As for the density of states at the Fermi level: 5.5 states/eV/cell.

Structure (Quantum ESPRESSO input):
```
&SYSTEM
  ibrav = 0, nat = 10, ntyp = 3
/
ATOMIC_SPECIES
Hg 200.59 Hg.upf
Sb 121.76 Sb.upf
As 74.92 As.upf
CELL_PARAMETERS angstrom
7.9559 0.0000 0.0000
0.0000 7.9559 0.0000
0.0000 0.0000 3.7086
ATOMIC_POSITIONS crystal
Hg 0.0000 0.0000 0.0000
Hg 0.5000 0.5000 0.0000
Sb 0.1582 0.3418 0.0000
Sb 0.3418 0.8418 0.0000
Sb 0.6582 0.1582 0.0000
Sb 0.8418 0.6582 0.0000
As 0.1489 0.6489 0.5000
As 0.3511 0.1489 0.5000
As 0.6489 0.8511 0.5000
As 0.8511 0.3511 0.5000
```

***

Most stable = A

***

--- A ---
DFT (SCAN) results for HgSbAs at its PBEsol-relaxed geometry. Values from VASP.

Values from the calculation:
As for the space group: Fmm2 (42). As for the density of states at the Fermi level: 1.0 states/eV/cell.

Structure (Quantum ESPRESSO input):
```
&SYSTEM
  ibrav = 0, nat = 3, ntyp = 3
/
ATOMIC_SPECIES
Hg 200.59 Hg.upf
Sb 121.76 Sb.upf
As 74.92 As.upf
CELL_PARAMETERS angstrom
0.0000 2.6007 7.5628
1.7866 0.0000 7.5628
1.7866 2.6007 0.0000
ATOMIC_POSITIONS crystal
Hg 0.0000 0.0000 0.0000
Sb 0.6875 0.6875 0.3125
As 0.3324 0.3324 0.6676
```

***

--- B ---
DFT (SCAN) results for HgSbAs at its PBEsol-relaxed geometry. Values from VASP.

Values from the calculation:
As for the space group: P3m1 (156). As for the density of states at the Fermi level: 0.9 states/eV/cell.

Structure (Quantum ESPRESSO input):
```
&SYSTEM
  ibrav = 0, nat = 3, ntyp = 3
/
ATOMIC_SPECIES
Hg 200.59 Hg.upf
Sb 121.76 Sb.upf
As 74.92 As.upf
CELL_PARAMETERS angstrom
3.9596 0.0000 0.0000
-1.9798 3.4291 0.0000
0.0000 0.0000 5.4980
ATOMIC_POSITIONS crystal
Hg 0.0000 0.0000 0.0000
Sb 0.3333 0.6667 0.6194
As 0.6667 0.3333 0.3402
```

***

Most stable = B